This record from Alexandria via LeMat-Bulk describes crystalline TaVCd at its relaxed geometry. The functional is PBE.

POSCAR file:
```
TaVCd
1.0
4.462 0.000 0.000
0.000 3.403 0.000
0.000 0.000 13.862
Ta V Cd
4 4 4
Cartesian
0.000 1.702 2.344 Ta
2.231 0.000 2.344 Ta
2.231 1.702 9.275 Ta
0.000 0.000 9.275 Ta
0.000 1.702 11.340 V
2.231 0.000 11.340 V
2.231 1.702 4.409 V
0.000 0.000 4.409 V
2.231 0.000 6.746 Cd
0.000 1.702 6.746 Cd
2.231 1.702 13.677 Cd
0.000 0.000 13.677 Cd
```

Calculated values
space-group type = No. 42
D(E_F) = 12.9 states/eV/cell
calculated formation energy = 0.207 eV per atom
volume = 17.5 Å³/atom
distance to the lowest polymorph of the same formula = 34 meV/atom